Entry 1:
! PBE YSc2W, relaxed; values from VASP
&SYSTEM
  ibrav = 0, nat = 4, ntyp = 3
/
ATOMIC_SPECIES
W 183.84 W.upf
Sc 44.96 Sc.upf
Y 88.91 Y.upf
ATOMIC_POSITIONS crystal
W 0.500 0.500 0.250
Sc 0.000 0.000 0.464
Sc 0.000 0.000 0.036
Y 0.500 0.500 0.750
CELL_PARAMETERS angstrom
-2.769 -0.031 -1.305
0.162 -4.485 -0.235
-2.767 -0.409 5.883
! **Energy above the most stable polymorph in this dataset**: 60 meV/atom
! **DFT total energy**: -7.694 eV/atom
! **E_form**: 0.3262 eV/atom

***

Entry 2:
! PBE LaReSb2, relaxed; values from VASP
&SYSTEM
  ibrav = 0, nat = 4, ntyp = 3
/
ATOMIC_SPECIES
La 138.91 La.upf
Sb 121.76 Sb.upf
Re 186.21 Re.upf
ATOMIC_POSITIONS crystal
La 0.500 0.500 0.500
Sb 0.000 0.000 0.000
Sb 0.250 0.250 0.250
Re 0.750 0.750 0.750
CELL_PARAMETERS angstrom
-1.889 -1.092 4.631
1.770 -4.040 2.599
2.883 0.703 4.171
! **Energy above the most stable polymorph in this dataset**: 617 meV/atom
! **Formation energy (no corrections)**: 1.4 eV/f.u.
! **DFT total energy**: -6.052 eV/atom

***

Entry 3:
! PBE BaAg2GeH, relaxed; values from VASP
&SYSTEM
  ibrav = 0, nat = 10, ntyp = 4
/
ATOMIC_SPECIES
Ge 72.64 Ge.upf
Ba 137.33 Ba.upf
H 1.01 H.upf
Ag 107.87 Ag.upf
ATOMIC_POSITIONS crystal
Ge 0.724 0.448 0.750
Ge 0.276 0.552 0.250
Ba 0.441 0.882 0.750
Ba 0.559 0.118 0.250
H 0.000 0.000 0.000
H 0.000 0.000 0.500
Ag 0.838 0.676 0.061
Ag 0.838 0.676 0.439
Ag 0.162 0.324 0.939
Ag 0.162 0.324 0.561
CELL_PARAMETERS angstrom
-2.483 0.133 3.689
5.691 -2.730 1.246
2.904 6.834 1.708
! **DFT total energy**: -3.380 eV/atom

***

Entry 4:
! PBE Y3ScSb2, relaxed; values from VASP
&SYSTEM
  ibrav = 0, nat = 12, ntyp = 3
/
ATOMIC_SPECIES
Y 88.91 Y.upf
Sb 121.76 Sb.upf
Sc 44.96 Sc.upf
ATOMIC_POSITIONS crystal
Y 0.574 0.325 0.650
Y 0.076 0.825 0.650
Y 0.426 0.675 0.350
Y 0.500 0.750 0.000
Y 0.924 0.175 0.350
Y 0.500 0.250 0.000
Sb 0.893 0.637 0.273
Sb 0.107 0.363 0.727
Sb 0.380 0.137 0.273
Sb 0.620 0.863 0.727
Sc 0.000 0.250 0.000
Sc 0.000 0.750 0.000
CELL_PARAMETERS angstrom
-0.649 -2.090 5.851
-3.381 -4.808 -2.092
8.975 -1.077 -2.724
! **Energy above the most stable polymorph in this dataset**: 0 meV/atom
! **Formation energy (no corrections)**: -5.1 eV/f.u.
! **DFT total energy**: -6.511 eV/atom

***

Entry 5:
! PBE Er4Ni3Pt, relaxed; values from VASP
&SYSTEM
  ibrav = 0, nat = 8, ntyp = 3
/
ATOMIC_SPECIES
Ni 58.69 Ni.upf
Er 167.26 Er.upf
Pt 195.08 Pt.upf
ATOMIC_POSITIONS crystal
Ni 0.000 0.000 0.430
Ni 0.000 0.500 0.573
Ni 0.500 0.000 0.916
Er 0.000 0.500 0.855
Er 0.500 0.000 0.638
Er 0.500 0.500 0.366
Er 0.000 0.000 0.142
Pt 0.500 0.500 0.079
CELL_PARAMETERS angstrom
3.695 0.000 0.000
0.000 4.281 0.000
0.000 0.000 10.149
! **DFT total energy**: -5.896 eV/atom
! **E_form**: -0.6916 eV/atom

***

Entry 6:
! PBE TcNiRh, relaxed; values from VASP
&SYSTEM
  ibrav = 0, nat = 12, ntyp = 3
/
ATOMIC_SPECIES
Rh 102.91 Rh.upf
Tc 98.00 Tc.upf
Ni 58.69 Ni.upf
ATOMIC_POSITIONS crystal
Rh 0.250 0.133 0.084
Rh 0.750 0.867 0.916
Rh 0.750 0.367 0.584
Rh 0.250 0.633 0.416
Tc 0.250 0.618 0.749
Tc 0.750 0.882 0.249
Tc 0.250 0.118 0.751
Tc 0.750 0.382 0.251
Ni 0.750 0.872 0.588
Ni 0.250 0.628 0.088
Ni 0.250 0.128 0.412
Ni 0.750 0.372 0.912
CELL_PARAMETERS angstrom
-0.361 1.117 2.406
-0.628 -4.791 2.130
11.136 -0.595 1.946
! **Energy above the most stable polymorph in this dataset**: 69 meV/atom
! **DFT total energy**: -7.860 eV/atom
! **E_form**: -0.0268 eV/atom

***

Question: Which formula does entry 4 have?
Answer: Y3ScSb2